No. 1
PdSe6Cl2: relaxed, PBEsol.

## Properties
raw total energy = -69.26 eV/cell

Cell lengths 4.353, 8.450, 12.647 Å; angles 90.00, 100.17, 90.00 degrees
Space group P2_1/c (No. 14)
Symmetry-distinct sites (fractional):
1 Pd 0.000 0.000 0.000
2 Se 0.016 0.134 0.354
3 Se 0.184 0.731 0.992
4 Se 0.190 0.123 0.653
5 Cl 0.367 0.038 0.152


No. 2
Pd3SeCl: relaxed, PBEsol.

## Properties
raw total energy = -21.35 eV/cell

Cell lengths 4.497, 4.497, 4.497 Å; angles 90.00, 90.00, 90.00 degrees
Space group Pm-3m (No. 221)
Symmetry-distinct sites (fractional):
1 Pd 0.000 0.000 0.500
2 Se 0.500 0.500 0.500
3 Cl 0.000 0.000 0.000


No. 3
SiPdCl2: relaxed, PBEsol.

## Properties
raw total energy = -45.69 eV/cell

Cell lengths 3.1426, 3.1426, 24.9772 Å; angles 90.00, 90.00, 120.00 degrees
Space group R-3m (No. 166, hexagonal axes)
Symmetry-distinct sites (fractional):
1 Si 0.0000 0.0000 0.0000
2 Pd 0.0000 0.0000 0.5000
3 Cl 0.0000 0.0000 0.0905


No. 4
Si3PdCl: relaxed, PBEsol.

## Properties
raw total energy = -22.90 eV/cell

Cell lengths 4.685, 4.685, 4.685 Å; angles 90.00, 90.00, 90.00 degrees
Space group Pm-3m (No. 221)
Symmetry-distinct sites (fractional):
1 Si 0.000 0.000 0.500
2 Pd 0.000 0.000 0.000
3 Cl 0.500 0.500 0.500


No. 5
SrPd2Cl2: relaxed, PBEsol.

## Properties
raw total energy = -41.47 eV/cell

Cell lengths 4.883, 4.883, 8.703 Å; angles 90.00, 90.00, 90.00 degrees
Space group I4/mmm (No. 139)
Symmetry-distinct sites (fractional):
1 Sr 0.000 0.000 0.000
2 Pd 0.000 0.000 0.345
3 Cl 0.000 0.500 0.250


No. 6
TaPdCl3: relaxed, PBEsol.

## Properties
raw total energy = -21.11 eV/cell

Cell lengths 4.737, 4.737, 4.737 Å; angles 90.00, 90.00, 90.00 degrees
Space group Pm-3m (No. 221)
Symmetry-distinct sites (fractional):
1 Ta 0.000 0.000 0.000
2 Pd 0.500 0.500 0.500
3 Cl 0.000 0.500 0.500


| no. | raw formation energy (eV/atom) |
| --- | --- |
| 1 | -0.173 |
| 2 | 0.477 |
| 3 | 0.123 |
| 4 | 0.461 |
| 5 | -0.592 |
| 6 | 0.685 |